{"formula": "BaTa2Al", "functional": "GGA-PBEsol", "state": "relaxed", "formation_enthalpy_0k_ev_per_fu": 2.2, "spacegroup": "P4/mmm", "lattice": [[-1.2336, 2.5731, 0.7386], [-1.2530, -1.2736, 2.3444], [7.9907, 2.2536, 5.4950]], "species": ["Ta", "Ta", "Al", "Ba"], "frac_coords": [[0.0000, 0.0000, 0.8129], [0.0000, 0.0000, 0.1871], [0.5000, 0.5000, 0.0000], [0.5000, 0.5000, 0.5000]]}